(1)
GeTeBr (GGA-PBE, optimized geometry); polymorph energy (0 for the lowest one) = 0.136 eV per atom; E_form (uncorrected) = -0.136 eV/atom; total energy = -9.84 eV/f.u.
1.0
6.2434 -2.4123 0.0000
6.2434 2.4123 0.0000
-1.8676 0.0000 7.6056
Ge Te Br
2 2 2
Cartesian
0.5489 0.0000 1.5861
10.0703 0.0000 6.0195
0.1178 0.0000 6.9344
10.5014 0.0000 0.6713
3.4539 0.0000 4.9704
7.1654 0.0000 2.6352



(2)
Ge2Te4Br3 (GGA-PBE, optimized geometry); E_form (uncorrected) = -0.120 eV/atom; total energy = -27.90 eV/f.u.
1.0
6.9423 -6.0706 0.0000
6.9423 6.0706 0.0000
-0.5036 0.0000 8.3383
Ge Te Br
4 8 6
Cartesian
2.9226 1.5151 0.4050
2.6708 -1.5151 4.5741
10.7101 1.5151 3.7641
10.4584 -1.5151 7.9333
2.2673 0.7824 3.1471
5.3681 2.3996 0.2658
2.0155 -0.7824 7.3162
8.2647 2.3996 3.9034
5.1163 -2.3996 4.4349
11.3655 0.7824 1.0220
8.0129 -2.3996 8.0725
11.1137 -0.7824 5.1912
6.8164 5.6179 2.0846
4.5854 1.4131 4.1898
4.8371 -1.4131 0.0207
8.5438 1.4131 8.3176
8.7956 -1.4131 4.1484
6.5646 -5.6179 6.2537



(3)
Ge4Te5Br2 (GGA-PBE, optimized geometry); E_form (uncorrected) = 0.032 eV/atom; total energy = -37.17 eV/f.u.
1.0
7.3260 -3.2172 0.0000
7.3260 3.2172 0.0000
-6.0025 0.0000 7.5435
Ge Te Br
4 5 2
Cartesian
0.0054 0.0000 2.0985
2.5904 0.0000 1.2407
6.0591 0.0000 6.3029
8.6440 0.0000 5.4450
5.2834 1.5756 1.1177
3.3661 1.5756 6.4258
4.3247 0.0000 3.7718
5.2834 -1.5756 1.1177
3.3661 -1.5756 6.4258
-0.2990 0.0000 4.5485
8.9485 0.0000 2.9950



(4)
GeTeBr (GGA-PBE, optimized geometry); polymorph energy (0 for the lowest one) = 0.000 eV per atom; E_form (uncorrected) = -0.272 eV/atom; total energy = -10.25 eV/f.u.
1.0
4.1225 0.0000 0.0000
2.0547 6.8020 0.0000
0.1178 3.1778 7.6823
Ge Te Br
2 2 2
Cartesian
0.0000 0.0000 0.0000
2.1800 5.0196 6.5520
4.1176 4.9626 0.6772
4.2417 6.8625 5.8823
2.1821 4.0394 4.3423
4.1248 0.9939 2.2034



(5)
GeTeBr2 (GGA-PBE, optimized geometry); polymorph energy (0 for the lowest one) = 0.414 eV per atom; E_form (uncorrected) = 0.036 eV/atom; total energy = -10.96 eV/f.u.
1.0
-5.0988 5.0988 2.7821
5.0988 -5.0988 2.7821
5.0988 5.0988 -2.7821
Ge Te Br
2 2 4
Cartesian
0.0000 0.0000 0.0000
0.0000 5.0988 1.3911
5.0988 0.0000 1.3911
0.0000 0.0000 2.7821
0.9179 2.5494 0.6955
-2.5494 4.1809 2.0866
-0.9179 7.6483 0.6955
2.5494 6.0168 2.0866



(6)
GeTe2Br (GGA-PBE, optimized geometry); polymorph energy (0 for the lowest one) = 0.000 eV per atom; E_form (uncorrected) = -0.139 eV/atom; total energy = -13.13 eV/f.u.
1.0
4.0135 0.0000 0.0000
0.0000 11.3236 0.0000
-0.0559 0.0000 5.7634
Ge Te Br
2 4 2
Cartesian
0.0304 2.8309 0.8947
3.9272 8.4927 4.8687
1.9267 6.3279 4.5725
1.9267 10.6575 4.5725
2.0309 0.6661 1.1909
2.0309 4.9957 1.1909
-0.0231 2.8309 3.4315
3.9808 8.4927 2.3319



(7)
GeTeBr (GGA-PBE, optimized geometry); polymorph energy (0 for the lowest one) = 0.407 eV per atom; E_form (uncorrected) = 0.135 eV/atom; total energy = -9.03 eV/f.u.
1.0
5.1508 0.0000 0.0000
-2.5754 4.4607 0.0000
0.0000 0.0000 3.3372
Ge Te Br
1 1 1
Cartesian
0.0000 0.0000 0.0000
2.5754 1.4869 0.7921
0.0000 2.9738 2.5156



(8)
GeTeBr2 (GGA-PBE, optimized geometry); polymorph energy (0 for the lowest one) = 0.286 eV per atom; E_form (uncorrected) = -0.092 eV/atom; total energy = -11.47 eV/f.u.
1.0
1.8532 1.0700 12.4174
-1.8532 1.0700 12.4174
0.0000 -2.1399 12.4174
Ge Te Br
1 1 2
Cartesian
0.0000 0.0000 0.0000
0.0000 0.0000 18.6261
0.0000 0.0000 14.2034
0.0000 0.0000 23.0488



(9)
GeTe3Br (GGA-PBE, optimized geometry); polymorph energy (0 for the lowest one) = 0.536 eV per atom; E_form (uncorrected) = 0.463 eV/atom; total energy = -13.40 eV/f.u.
1.0
5.4412 0.0000 0.0000
0.0000 5.4412 0.0000
0.0000 0.0000 5.4412
Ge Te Br
1 3 1
Cartesian
0.0000 0.0000 0.0000
0.0000 0.0000 2.7206
0.0000 2.7206 0.0000
2.7206 0.0000 0.0000
2.7206 2.7206 2.7206



(10)
GeTe3Br (GGA-PBE, optimized geometry); polymorph energy (0 for the lowest one) = 0.000 eV per atom; E_form (uncorrected) = -0.072 eV/atom; total energy = -16.08 eV/f.u.
1.0
5.6708 0.0000 0.0000
0.0000 7.9474 0.0000
-0.0092 0.0000 7.6940
Ge Te Br
2 6 2
Cartesian
0.0000 0.0000 0.0000
2.8351 3.9737 0.1165
0.6240 3.9737 5.7112
1.4820 1.9410 1.7685
1.4820 6.0064 1.7685
3.4694 0.0000 2.0981
4.3079 2.0306 6.0396
4.3079 5.9167 6.0396
1.8858 0.0000 5.8589
4.7312 3.9737 1.9491



(11)
GeTe2Br (GGA-PBE, optimized geometry); polymorph energy (0 for the lowest one) = 0.442 eV per atom; E_form (uncorrected) = 0.304 eV/atom; total energy = -11.36 eV/f.u.
1.0
1.5899 0.9179 13.0486
-1.5899 0.9179 13.0486
0.0000 -1.8359 13.0486
Ge Te Br
1 2 1
Cartesian
0.0000 0.0000 0.0000
0.0000 0.0000 2.9368
0.0000 0.0000 36.2089
0.0000 0.0000 19.5729



(12)
GeTe2Br (GGA-PBE, optimized geometry); polymorph energy (0 for the lowest one) = 0.270 eV per atom; E_form (uncorrected) = 0.131 eV/atom; total energy = -12.05 eV/f.u.
1.0
-3.8535 3.8535 4.5474
3.8535 -3.8535 4.5474
3.8535 3.8535 -4.5474
Ge Te Br
2 4 2
Cartesian
0.0000 0.0000 0.0000
0.0000 3.8535 2.2737
5.7803 1.4819 -1.1369
1.4819 1.9268 1.1369
-1.9268 2.3716 3.4106
2.3716 1.9268 5.6843
3.8535 0.0000 2.2737
0.0000 0.0000 4.5474



(13)
GeTe2Br4 (GGA-PBE, optimized geometry); E_form (uncorrected) = 0.076 eV/atom; total energy = -17.06 eV/f.u.
1.0
-2.6715 2.6715 8.9465
2.6715 -2.6715 8.9465
2.6715 2.6715 -8.9465
Ge Te Br
1 2 4
Cartesian
0.0000 0.0000 0.0000
0.0000 0.0000 5.9870
0.0000 0.0000 11.9060
2.6715 0.0000 0.0000
0.0000 0.0000 3.5016
0.0000 2.6715 0.0000
0.0000 0.0000 14.3914



(14)
GeTeBr2 (GGA-PBE, optimized geometry); polymorph energy (0 for the lowest one) = 0.729 eV per atom; E_form (uncorrected) = 0.351 eV/atom; total energy = -9.70 eV/f.u.
1.0
0.0000 3.7420 3.7420
3.7420 0.0000 3.7420
3.7420 3.7420 0.0000
Ge Te Br
1 1 2
Cartesian
0.0000 0.0000 0.0000
3.7420 3.7420 3.7420
1.8710 1.8710 1.8710
5.6130 5.6130 5.6130



(15)
GeTe2Br (GGA-PBE, optimized geometry); polymorph energy (0 for the lowest one) = 0.487 eV per atom; E_form (uncorrected) = 0.349 eV/atom; total energy = -11.18 eV/f.u.
1.0
0.0000 3.7244 3.7244
3.7244 0.0000 3.7244
3.7244 3.7244 0.0000
Ge Te Br
1 2 1
Cartesian
0.0000 0.0000 0.0000
1.8622 1.8622 1.8622
5.5866 5.5866 5.5866
3.7244 3.7244 3.7244



(16)
Ge4Te2Br5 (GGA-PBE, optimized geometry); E_form (uncorrected) = -0.146 eV/atom; total energy = -34.73 eV/f.u.
1.0
6.1085 -3.6723 0.0000
6.1085 3.6723 0.0000
-5.6747 0.0000 8.2769
Ge Te Br
4 2 5
Cartesian
-0.0494 0.0000 2.6795
-2.5563 0.0000 7.0488
9.0986 0.0000 1.2280
6.5917 0.0000 5.5974
4.7761 0.0000 0.7280
1.7662 0.0000 7.5488
0.0000 0.0000 0.0000
1.7073 1.8264 2.9753
4.8351 1.8264 5.3015
1.7073 -1.8264 2.9753
4.8351 -1.8264 5.3015



(17)
GeTeBr2 (GGA-PBE, optimized geometry); polymorph energy (0 for the lowest one) = 0.289 eV per atom; E_form (uncorrected) = -0.089 eV/atom; total energy = -11.46 eV/f.u.
1.0
3.6999 0.0000 0.0000
1.8496 3.2108 0.0000
0.0028 2.0825 11.9441
Ge Te Br
1 1 2
Cartesian
0.0000 0.0000 0.0000
3.7158 4.2422 5.9822
1.8524 3.1541 10.1578
3.6990 2.1386 1.7862



(18)
Tl5GeTe4Br2 (GGA-PBE, optimized geometry); E_form (uncorrected) = -0.375 eV/atom; total energy = -36.86 eV/f.u.
1.0
9.8715 0.0000 0.0000
0.0000 5.2556 4.4765
0.0000 -5.2556 4.4765
Tl Ge Te Br
5 1 4 2
Cartesian
0.0000 0.0000 0.0000
2.5019 -1.9683 4.5994
2.5019 1.9683 4.5994
7.3696 -1.9683 4.5994
7.3696 1.9683 4.5994
4.9358 0.0000 8.2998
2.9523 0.0000 1.1154
4.9358 -2.2210 6.9779
4.9358 2.2210 6.9779
6.9192 0.0000 1.1154
0.0000 -2.2749 6.9322
0.0000 2.2749 6.9322



(19)
Th6Ge5Br (GGA-PBE, optimized geometry); E_form (uncorrected) = -0.835 eV/atom; total energy = -79.30 eV/f.u.
1.0
3.7336 -6.4537 0.0000
3.7336 6.4537 0.0000
-2.4781 0.0000 7.0311
Th Ge Br
6 5 1
Cartesian
-0.0456 2.2372 5.2050
1.1448 0.0000 1.8024
-0.0456 -2.2372 5.2050
5.0346 2.2372 1.8261
3.8442 0.0000 5.2287
5.0346 -2.2372 1.8261
-1.2390 0.0000 3.5155
3.7336 4.2859 0.0000
2.4945 2.0872 3.5155
2.4945 -2.0872 3.5155
3.7336 -4.2859 0.0000
3.7336 0.0000 0.0000



(20)
Ti2GeBr8 (GGA-PBE, optimized geometry); E_form (uncorrected) = -0.925 eV/atom; total energy = -43.96 eV/f.u.
1.0
6.7780 -4.9342 0.0000
6.7780 4.9342 0.0000
-0.8075 0.0000 6.7562
Ti Ge Br
2 1 8
Cartesian
2.4840 0.0000 0.9187
10.2645 0.0000 5.8375
-0.4038 0.0000 3.3781
4.8668 3.1111 4.9294
1.7965 0.0000 5.2372
7.8816 3.1111 1.8269
4.6588 0.0000 1.8515
8.0896 0.0000 4.9047
4.8668 -3.1111 4.9294
10.9519 0.0000 1.5190
7.8816 -3.1111 1.8269



(21)
TiGe2Br2 (GGA-PBE, optimized geometry); polymorph energy (0 for the lowest one) = 0.000 eV per atom; E_form (uncorrected) = 0.114 eV/atom; total energy = -19.90 eV/f.u.
1.0
7.2405 0.0000 0.0000
0.0000 7.2405 0.0000
0.0000 0.0000 5.3187
Ti Ge Br
2 4 4
Cartesian
0.0000 0.0000 0.0000
3.6202 3.6202 0.0000
1.7642 1.8560 0.0000
1.8560 5.4762 0.0000
5.3845 1.7642 0.0000
5.4762 5.3845 0.0000
1.4777 5.0979 2.6593
2.1425 1.4777 2.6593
5.0979 5.7628 2.6593
5.7628 2.1425 2.6593



(22)
TiGe2Br2 (GGA-PBE, optimized geometry); polymorph energy (0 for the lowest one) = 0.582 eV per atom; E_form (uncorrected) = 0.696 eV/atom; total energy = -17.00 eV/f.u.
1.0
-2.2633 2.2633 6.0936
2.2633 -2.2633 6.0936
2.2633 2.2633 -6.0936
Ti Ge Br
1 2 2
Cartesian
0.0000 0.0000 0.0000
0.0000 0.0000 4.8761
0.0000 0.0000 7.3110
2.2633 0.0000 3.0468
0.0000 2.2633 3.0468



(23)
TiGeBr2 (GGA-PBE, optimized geometry); polymorph energy (0 for the lowest one) = 0.512 eV per atom; E_form (uncorrected) = 0.115 eV/atom; total energy = -15.40 eV/f.u.
1.0
0.0000 3.4452 3.4452
3.4452 0.0000 3.4452
3.4452 3.4452 0.0000
Ti Ge Br
1 1 2
Cartesian
0.0000 0.0000 0.0000
3.4452 3.4452 3.4452
1.7226 1.7226 1.7226
5.1678 5.1678 5.1678



(24)
TiGeBr2 (GGA-PBE, optimized geometry); polymorph energy (0 for the lowest one) = 0.000 eV per atom; E_form (uncorrected) = -0.397 eV/atom; total energy = -17.45 eV/f.u.
1.0
1.6679 0.9630 10.0277
-1.6679 0.9630 10.0277
0.0000 -1.9259 10.0277
Ti Ge Br
1 1 2
Cartesian
0.0000 0.0000 0.0000
0.0000 0.0000 15.0416
0.0000 0.0000 11.7876
0.0000 0.0000 18.2956



(25)
TiGeBr2 (GGA-PBE, optimized geometry); polymorph energy (0 for the lowest one) = 0.574 eV per atom; E_form (uncorrected) = 0.176 eV/atom; total energy = -15.15 eV/f.u.
1.0
-3.4913 3.4913 5.1850
3.4913 -3.4913 5.1850
3.4913 3.4913 -5.1850
Ti Ge Br
2 2 4
Cartesian
0.0000 0.0000 0.0000
0.0000 3.4913 2.5925
3.4913 0.0000 2.5925
0.0000 0.0000 5.1850
5.2370 1.3144 -1.2963
1.3144 1.7457 1.2963
-1.7457 2.1769 3.8888
2.1769 1.7457 6.4813